[1]
La5PmCd3: relaxed, PBE-GGA.

Final energy   -3.747 eV per atom

The structure in CIF format:
```
data_La5PmCd3
_symmetry_space_group_name_H-M 'C m c m'
_symmetry_Int_Tables_number 63
_symmetry_space_group_name_Hall '-C 2c 2'
_cell_length_a 16.680
_cell_length_b 9.636
_cell_length_c 7.194
_cell_angle_alpha 90.00
_cell_angle_beta 90.00
_cell_angle_gamma 90.00
loop_
_atom_site_label
_atom_site_type_symbol
_atom_site_fract_x
_atom_site_fract_y
_atom_site_fract_z
_atom_site_occupancy
La1 La 0.000 0.165 0.250 1
La2 La 0.166 0.000 0.000 1
La3 La 0.168 0.332 0.750 1
Pm1 Pm 0.000 0.500 0.000 1
Cd1 Cd 0.000 0.172 0.750 1
Cd2 Cd 0.164 0.337 0.250 1
```


[2]
CaZnAu3: relaxed, PBE-GGA.

Excess energy over the best structure of this formula in the dataset   0.40 eV per formula unit
Final energy   -3.030 eV per atom

The structure in CIF format:
```
data_CaZnAu3
_symmetry_space_group_name_H-M 'P 63/m m c'
_symmetry_Int_Tables_number 194
_symmetry_space_group_name_Hall '-P 6c 2c'
_cell_length_a 6.6739
_cell_length_b 6.6739
_cell_length_c 11.4262
_cell_angle_alpha 90.00
_cell_angle_beta 90.00
_cell_angle_gamma 120.00
loop_
_atom_site_label
_atom_site_type_symbol
_atom_site_fract_x
_atom_site_fract_y
_atom_site_fract_z
_atom_site_occupancy
Ca1 Ca 0.0000 0.0000 0.0000 1
Ca2 Ca 0.3333 0.6667 0.2500 1
Zn1 Zn 0.3333 0.6667 0.6420 1
Au1 Au 0.0000 0.5000 0.0000 1
Au2 Au 0.1372 0.2743 0.7500 1
```


[3]
BeVSbRh2: relaxed, PBE-GGA.

Final energy   -5.309 eV per atom

The structure in CIF format:
```
data_BeVSbRh2
_symmetry_space_group_name_H-M 'P 4/m m m'
_symmetry_Int_Tables_number 123
_symmetry_space_group_name_Hall '-P 4 2'
_cell_length_a 4.485
_cell_length_b 4.485
_cell_length_c 4.962
_cell_angle_alpha 90.00
_cell_angle_beta 90.00
_cell_angle_gamma 90.00
loop_
_atom_site_label
_atom_site_type_symbol
_atom_site_fract_x
_atom_site_fract_y
_atom_site_fract_z
_atom_site_occupancy
Be1 Be 0.000 0.000 0.000 1
V1 V 0.500 0.500 0.500 1
Sb1 Sb 0.500 0.500 0.000 1
Rh1 Rh 0.000 0.500 0.500 1
```


[4]
Ca2SmPuAs4: relaxed, PBE-GGA.

Final energy   -6.330 eV per atom

The structure in CIF format:
```
data_Ca2SmPuAs4
_symmetry_space_group_name_H-M 'P 1 2/m 1'
_symmetry_Int_Tables_number 10
_cell_length_a 7.265
_cell_length_b 4.232
_cell_length_c 7.280
_cell_angle_alpha 90.00
_cell_angle_beta 109.69
_cell_angle_gamma 90.00
loop_
_symmetry_equiv_pos_as_xyz
'x,y,z'
'-x,-y,-z'
'-x,y,-z'
'x,-y,z'
loop_
_atom_site_label
_atom_site_type_symbol
_atom_site_fract_x
_atom_site_fract_y
_atom_site_fract_z
_atom_site_occupancy
Ca1 Ca 0.000 0.000 0.000 1
Ca2 Ca 0.000 0.500 0.500 1
Sm1 Sm 0.500 0.000 0.500 1
Pu1 Pu 0.500 0.500 0.000 1
As1 As 0.264 0.500 0.244 1
As2 As 0.269 0.000 0.765 1
```


[5]
KC2N3: relaxed, PBE-GGA.

Excess energy over the best structure of this formula in the dataset   0.76 eV per formula unit
Final energy   -7.506 eV per atom

The structure in CIF format:
```
data_KC2N3
_symmetry_space_group_name_H-M 'P b c m'
_symmetry_Int_Tables_number 57
_cell_length_a 8.441
_cell_length_b 6.666
_cell_length_c 7.462
_cell_angle_alpha 90.00
_cell_angle_beta 90.00
_cell_angle_gamma 90.00
loop_
_symmetry_equiv_pos_as_xyz
'x,y,z'
'-x,-y,-z'
'-x,-y,z+1/2'
'x,y,-z+1/2'
'x,-y+1/2,-z'
'-x,y+1/2,z'
'-x,y+1/2,-z+1/2'
'x,-y+1/2,z+1/2'
loop_
_atom_site_label
_atom_site_type_symbol
_atom_site_fract_x
_atom_site_fract_y
_atom_site_fract_z
_atom_site_occupancy
K1 K 0.181 0.250 0.000 1
C1 C 0.181 0.732 0.250 1
C2 C 0.440 0.653 0.750 1
N1 N 0.073 0.618 0.250 1
N2 N 0.287 0.627 0.750 1
N3 N 0.420 0.155 0.750 1
```


[6]
Tm4ZrAs5: relaxed, PBE-GGA.

Final energy   -6.394 eV per atom

The structure in CIF format:
```
data_Tm4ZrAs5
_symmetry_space_group_name_H-M 'I 4/m'
_symmetry_Int_Tables_number 87
_symmetry_space_group_name_Hall '-I 4'
_cell_length_a 8.975
_cell_length_b 8.975
_cell_length_c 5.682
_cell_angle_alpha 90.00
_cell_angle_beta 90.00
_cell_angle_gamma 90.00
loop_
_atom_site_label
_atom_site_type_symbol
_atom_site_fract_x
_atom_site_fract_y
_atom_site_fract_z
_atom_site_occupancy
Tm1 Tm 0.098 0.700 0.000 1
Zr1 Zr 0.000 0.000 0.500 1
As1 As 0.000 0.000 0.000 1
As2 As 0.099 0.706 0.500 1
```


[7]
SiNiPt2: relaxed, PBE-GGA.

Final energy   -6.162 eV per atom

The structure in CIF format:
```
data_SiNiPt2
_symmetry_space_group_name_H-M 'P 1 2/m 1'
_symmetry_Int_Tables_number 10
_cell_length_a 2.845
_cell_length_b 3.658
_cell_length_c 5.437
_cell_angle_alpha 90.00
_cell_angle_beta 99.95
_cell_angle_gamma 90.00
loop_
_symmetry_equiv_pos_as_xyz
'x,y,z'
'-x,-y,-z'
'-x,y,-z'
'x,-y,z'
loop_
_atom_site_label
_atom_site_type_symbol
_atom_site_fract_x
_atom_site_fract_y
_atom_site_fract_z
_atom_site_occupancy
Si1 Si 0.000 0.000 0.000 1
Ni1 Ni 0.000 0.000 0.500 1
Pt1 Pt 0.406 0.500 0.244 1
```


[8]
MnIr2W: relaxed, PBE-GGA.

Excess energy over the best structure of this formula in the dataset   0.28 eV per formula unit
Final energy   -10.154 eV per atom

The structure in CIF format:
```
data_MnIr2W
_symmetry_space_group_name_H-M 'C m m m'
_symmetry_Int_Tables_number 65
_symmetry_space_group_name_Hall '-C 2 2'
_cell_length_a 5.460
_cell_length_b 7.632
_cell_length_c 2.756
_cell_angle_alpha 90.00
_cell_angle_beta 90.00
_cell_angle_gamma 90.00
loop_
_atom_site_label
_atom_site_type_symbol
_atom_site_fract_x
_atom_site_fract_y
_atom_site_fract_z
_atom_site_occupancy
Mn1 Mn 0.000 0.000 0.000 1
Ir1 Ir 0.250 0.250 0.500 1
W1 W 0.000 0.500 0.000 1
```


[9]
Hf3IrOs2: relaxed, PBE-GGA.

Final energy   -10.964 eV per atom

The structure in CIF format:
```
data_Hf3IrOs2
_symmetry_space_group_name_H-M 'P 4/m m m'
_symmetry_Int_Tables_number 123
_symmetry_space_group_name_Hall '-P 4 2'
_cell_length_a 3.277
_cell_length_b 3.277
_cell_length_c 9.667
_cell_angle_alpha 90.00
_cell_angle_beta 90.00
_cell_angle_gamma 90.00
loop_
_atom_site_label
_atom_site_type_symbol
_atom_site_fract_x
_atom_site_fract_y
_atom_site_fract_z
_atom_site_occupancy
Hf1 Hf 0.000 0.000 0.000 1
Hf2 Hf 0.000 0.000 0.333 1
Ir1 Ir 0.500 0.500 0.500 1
Os1 Os 0.500 0.500 0.168 1
```


[10]
FeNiCl4: relaxed, PBE-GGA.

Final energy   -2.409 eV per atom

The structure in CIF format:
```
data_FeNiCl4
_symmetry_space_group_name_H-M 'F -4 3 m'
_symmetry_Int_Tables_number 216
_symmetry_space_group_name_Hall 'F -4 2 3'
_cell_length_a 8.080
_cell_length_b 8.080
_cell_length_c 8.080
_cell_angle_alpha 90.00
_cell_angle_beta 90.00
_cell_angle_gamma 90.00
loop_
_atom_site_label
_atom_site_type_symbol
_atom_site_fract_x
_atom_site_fract_y
_atom_site_fract_z
_atom_site_occupancy
Fe1 Fe 0.000 0.000 0.000 1
Ni1 Ni 0.250 0.250 0.750 1
Cl1 Cl 0.125 0.125 0.375 1
```


[11]
BaScCu2: relaxed, PBE-GGA.

Excess energy over the best structure of this formula in the dataset   0.00 eV per formula unit
Final energy   -4.153 eV per atom

The structure in CIF format:
```
data_BaScCu2
_symmetry_space_group_name_H-M 'P 1 2/m 1'
_symmetry_Int_Tables_number 10
_cell_length_a 3.565
_cell_length_b 3.515
_cell_length_c 7.345
_cell_angle_alpha 90.00
_cell_angle_beta 90.18
_cell_angle_gamma 90.00
loop_
_symmetry_equiv_pos_as_xyz
'x,y,z'
'-x,-y,-z'
'-x,y,-z'
'x,-y,z'
loop_
_atom_site_label
_atom_site_type_symbol
_atom_site_fract_x
_atom_site_fract_y
_atom_site_fract_z
_atom_site_occupancy
Ba1 Ba 0.000 0.000 0.000 1
Sc1 Sc 0.000 0.000 0.500 1
Cu1 Cu 0.499 0.500 0.674 1
```


[12]
MnIrOs2: relaxed, PBE-GGA.

Excess energy over the best structure of this formula in the dataset   0.29 eV per formula unit
Final energy   -10.052 eV per atom

The structure in CIF format:
```
data_MnIrOs2
_symmetry_space_group_name_H-M 'P 4/m m m'
_symmetry_Int_Tables_number 123
_symmetry_space_group_name_Hall '-P 4 2'
_cell_length_a 2.695
_cell_length_b 2.695
_cell_length_c 7.466
_cell_angle_alpha 90.00
_cell_angle_beta 90.00
_cell_angle_gamma 90.00
loop_
_atom_site_label
_atom_site_type_symbol
_atom_site_fract_x
_atom_site_fract_y
_atom_site_fract_z
_atom_site_occupancy
Mn1 Mn 0.000 0.000 0.000 1
Ir1 Ir 0.000 0.000 0.500 1
Os1 Os 0.500 0.500 0.236 1
```


Fermi-level density of states, record by record: 11.26, 2.69, 4.64, 11.72, 0.00, 2.22, 2.85, 3.67, 1.88, 14.17, 3.69, 4.04 states/eV/f.u.